Here is an optimized crystal structure of RePbF3 from Alexandria via LeMat-Bulk. Energies are from PBE-GGA.

Cell: 4.817 4.817 4.817 Å, 90.00 90.00 90.00°
Each line ends with the local moment (μB).
Fractional coordinates of all 5 atoms:
Pb 0.000 0.000 0.000  0.02
Re 0.500 0.500 0.500  4.57
F 0.000 0.500 0.000  0.09
F 0.000 0.000 0.500  0.06
F 0.500 0.000 0.000  0.06

## Properties
formation energy without anion corrections: -11.874 kcal/mol of atoms
space-group type: No. 221